Entry 1:
This record from Alexandria describes crystalline K3Cd2AgBr9 at its relaxed geometry. The functional is PBE.

a = 7.7832 Å, b = 7.7832 Å, c = 9.5818 Å
α = 90.00°, β = 90.00°, γ = 120.00°
Space group P-3m1 (No. 164)
One atom of each set of equivalent atoms:
K: 0.0000 0.0000 0.0000 [1 per cell]
K: 0.3333 0.6667 0.6521 [2 per cell]
Cd: 0.3333 0.6667 0.1689 [2 per cell]
Ag: 0.0000 0.0000 0.5000 [1 per cell]
Br: 0.0000 0.5000 0.0000 [3 per cell]
Br: 0.1670 0.3340 0.3365 [6 per cell]

Output
Magnetization in μB per formula unit: 0.0
VASP energy in eV/atom: -2.56
Uncorrected formation energy in eV per atom: -1.02


Entry 2:
This record from Alexandria describes crystalline KCd3Ag4Br12 at its relaxed geometry. The functional is PBE.

a = 15.1118 Å, b = 15.1118 Å, c = 10.4709 Å
α = 90.00°, β = 90.00°, γ = 120.00°
Space group R32 (No. 155, hexagonal axes)
One atom of each set of equivalent atoms:
K: 0.0000 0.0000 0.0000 [3 per cell]
Cd: 0.0000 0.5743 0.0000 [9 per cell]
Ag: 0.0000 0.0000 0.5000 [3 per cell]
Ag: 0.0000 0.4031 0.5000 [9 per cell]
Br: 0.0000 0.5852 0.5000 [9 per cell]
Br: 0.0000 0.8284 0.5000 [9 per cell]
Br: 0.0643 0.2105 0.1892 [18 per cell]

Output
Magnetization in μB per formula unit: 0.0
VASP energy in eV/atom: -2.40
Uncorrected formation energy in eV per atom: -0.63


Entry 3:
This record from Alexandria describes crystalline LiCdAg2Br6 at its relaxed geometry. The functional is PBE.

a = 7.011 Å, b = 7.012 Å, c = 7.572 Å
α = 62.67°, β = 62.43°, γ = 60.01°
Space group P1 (No. 1)
One atom of each set of equivalent atoms:
Li: 0.000 0.000 0.000 [1 per cell]
Cd: 0.507 0.507 0.481 [1 per cell]
Ag: 0.195 0.195 0.416 [1 per cell]
Ag: 0.696 0.697 0.913 [1 per cell]
Br: 0.100 0.417 0.692 [1 per cell]
Br: 0.292 0.920 0.190 [1 per cell]
Br: 0.415 0.793 0.693 [1 per cell]
Br: 0.599 0.292 0.191 [1 per cell]
Br: 0.792 0.102 0.692 [1 per cell]
Br: 0.919 0.600 0.190 [1 per cell]

Output
Magnetization in μB per formula unit: 0.0
VASP energy in eV/atom: -2.52
Uncorrected formation energy in eV per atom: -0.66


Entry 4:
This record from Alexandria describes crystalline Li2CdAgBr6 at its relaxed geometry. The functional is PBE.

a = 14.830 Å, b = 16.846 Å, c = 5.975 Å
α = 90.00°, β = 111.20°, γ = 90.00°
Space group C2/c (No. 15)
One atom of each set of equivalent atoms:
Li: 0.217 0.102 0.298 [8 per cell]
Cd: 0.000 0.333 0.250 [4 per cell]
Ag: 0.000 0.263 0.750 [4 per cell]
Br: 0.107 0.405 0.639 [8 per cell]
Br: 0.135 0.002 0.480 [8 per cell]
Br: 0.135 0.239 0.166 [8 per cell]

Output
Magnetization in μB per formula unit: 0.0
VASP energy in eV/atom: -2.61
Uncorrected formation energy in eV per atom: -0.85


Entry 5:
This record from Alexandria describes crystalline LiCd2AgBr6 at its relaxed geometry. The functional is PBE.

a = 14.412 Å, b = 13.778 Å, c = 7.267 Å
α = 90.00°, β = 111.39°, γ = 90.00°
Space group C2/c (No. 15)
One atom of each set of equivalent atoms:
Li: 0.000 0.194 0.250 [4 per cell]
Cd: 0.196 0.414 0.754 [8 per cell]
Ag: 0.000 0.168 0.750 [4 per cell]
Br: 0.108 0.084 0.112 [8 per cell]
Br: 0.128 0.245 0.589 [8 per cell]
Br: 0.128 0.425 0.050 [8 per cell]

Output
Magnetization in μB per formula unit: 0.0
VASP energy in eV/atom: -2.52
Uncorrected formation energy in eV per atom: -0.85


Entry 6:
This record from Alexandria describes crystalline Mn2CdAgBr at its relaxed geometry. The functional is PBE.

a = 5.156 Å, b = 5.156 Å, c = 5.480 Å
α = 90.00°, β = 90.00°, γ = 90.00°
Space group P4/mmm (No. 123)
One atom of each set of equivalent atoms:
Mn: 0.000 0.500 0.000 [2 per cell]
Cd: 0.000 0.000 0.500 [1 per cell]
Ag: 0.500 0.500 0.000 [1 per cell]
Br: 0.500 0.500 0.500 [1 per cell]

Output
Magnetization in μB per formula unit: 9.7
VASP energy in eV/atom: -3.91
Uncorrected formation energy in eV per atom: 0.84


Entry 7:
This record from Alexandria describes crystalline MnCdAg2Br6 at its relaxed geometry. The functional is PBE.

a = 7.1034 Å, b = 7.1034 Å, c = 18.9246 Å
α = 90.00°, β = 90.00°, γ = 120.00°
Space group R3 (No. 146, hexagonal axes)
One atom of each set of equivalent atoms:
Mn: 0.0000 0.0000 0.0000 [3 per cell]
Cd: 0.0000 0.0000 0.5019 [3 per cell]
Ag: 0.0000 0.0000 0.2962 [3 per cell]
Ag: 0.0000 0.0000 0.7929 [3 per cell]
Br: 0.0322 0.3351 0.0738 [9 per cell]
Br: 0.0407 0.6857 0.5770 [9 per cell]

Output
Magnetization in μB per formula unit: 5.0
VASP energy in eV/atom: -3.16
Uncorrected formation energy in eV per atom: -0.58


Entry 8:
This record from Alexandria describes crystalline Na2CdAgBr5 at its relaxed geometry. The functional is PBE.

a = 4.195 Å, b = 17.393 Å, c = 14.699 Å
α = 90.00°, β = 90.00°, γ = 90.00°
Space group Cmc2_1 (No. 36)
One atom of each set of equivalent atoms:
Na: 0.000 0.078 0.000 [4 per cell]
Na: 0.000 0.139 0.600 [4 per cell]
Cd: 0.000 0.242 0.364 [4 per cell]
Ag: 0.000 0.448 0.771 [4 per cell]
Br: 0.000 0.084 0.385 [4 per cell]
Br: 0.000 0.256 0.007 [4 per cell]
Br: 0.000 0.272 0.736 [4 per cell]
Br: 0.000 0.395 0.365 [4 per cell]
Br: 0.000 0.489 0.108 [4 per cell]

Output
Magnetization in μB per formula unit: 0.0
VASP energy in eV/atom: -2.67
Uncorrected formation energy in eV per atom: -1.02